GGA-PBE Rb2Y2HfSe6, optimized geometry; E = -63.90 eV for the cell shown; formation energy without anion corrections = -1.652 eV per atom
1.0
7.049 -0.001 0.048
-3.485 6.128 0.048
-1.286 -2.211 8.155
Rb Y Hf Se
2 2 1 6
direct
0.829 0.171 0.000
0.171 0.829 0.000
0.333 0.667 0.500
0.667 0.333 0.500
0.000 0.000 0.500
0.751 0.751 0.689
0.067 0.381 0.691
0.249 0.249 0.311
0.381 0.067 0.691
0.933 0.619 0.309
0.619 0.933 0.309

***

GGA-PBE RbLa2CuO4, optimized geometry; E = -108.08 eV for the cell shown; formation energy without anion corrections = -2.411 eV per atom
1.0
-0.699 2.081 3.098
5.197 -3.964 1.509
7.545 8.394 -3.936
Rb La Cu O
2 4 2 8
direct
0.075 0.151 0.750
0.925 0.849 0.250
0.369 0.739 0.563
0.631 0.261 0.063
0.631 0.261 0.437
0.369 0.739 0.937
0.775 0.550 0.750
0.225 0.450 0.250
0.245 0.491 0.096
0.755 0.509 0.596
0.755 0.509 0.904
0.245 0.491 0.404
0.000 0.000 0.500
0.000 0.000 0.000
0.415 0.829 0.750
0.585 0.171 0.250

***

GGA-PBE Ba2MgPb6, optimized geometry; E = -30.40 eV for the cell shown; E_form = -0.301 eV/atom
1.0
6.565 0.004 3.788
2.186 6.190 3.788
0.003 0.002 7.576
Ba Mg Pb
2 1 6
direct
0.250 0.250 0.250
0.750 0.750 0.750
0.500 0.500 0.500
0.220 0.220 0.780
0.220 0.780 0.220
0.780 0.220 0.780
0.780 0.220 0.220
0.220 0.780 0.780
0.780 0.780 0.220

***

GGA-PBE Sm12Y2Tm5, optimized geometry; E = -89.81 eV for the cell shown; E_form = 0.111 eV/atom; energy above the lowest structure with this stoichiometry = 0.000 eV/atom
1.0
11.566 0.000 0.000
-5.783 6.414 0.517
0.000 3.412 8.726
Sm Y Tm
12 2 5
direct
0.116 0.232 0.059
0.048 0.604 0.804
0.556 0.604 0.804
0.173 0.785 0.417
0.612 0.785 0.417
0.423 0.846 0.787
0.577 0.154 0.213
0.827 0.215 0.583
0.388 0.215 0.583
0.952 0.396 0.196
0.444 0.396 0.196
0.884 0.768 0.941
0.723 0.000 0.000
0.277 0.000 0.000
0.197 0.395 0.660
0.310 0.621 0.233
0.000 0.000 0.500
0.690 0.379 0.767
0.803 0.605 0.340

***

GGA-PBE Tb2SmPd4, optimized geometry; E = -40.14 eV for the cell shown; E_form = -0.771 eV/atom
1.0
0.261 -1.664 -5.380
-4.903 -2.741 -0.407
-1.463 6.887 5.260
Tb Sm Pd
2 1 4
direct
0.011 0.661 0.350
0.989 0.339 0.650
0.000 0.000 0.000
0.699 0.801 0.500
0.301 0.199 0.500
0.000 0.500 0.000
0.500 0.000 0.000

***

GGA-PBE La2TiTlC, optimized geometry; E = -30.52 eV for the cell shown; E_form = -0.237 eV/atom
1.0
5.404 0.000 0.000
0.000 5.404 0.000
0.000 0.000 4.242
Tl Ti C La
1 1 1 2
direct
0.500 0.500 0.500
0.000 0.000 0.500
0.000 0.000 0.000
0.000 0.500 0.000
0.500 0.000 0.000

***

GGA-PBE Pm4NdSc, optimized geometry; E = -58.75 eV for the cell shown; E_form = 0.121 eV/atom
1.0
-0.800 -0.042 -6.505
4.384 -7.844 3.967
-6.162 -3.050 0.778
Pm Nd Sc
8 2 2
direct
0.312 0.505 0.750
0.688 0.495 0.250
0.294 0.163 0.750
0.706 0.837 0.250
0.207 0.807 0.000
0.793 0.193 0.500
0.207 0.807 0.500
0.793 0.193 0.000
0.756 0.850 0.750
0.244 0.150 0.250
0.819 0.501 0.750
0.181 0.499 0.250

***

GGA-PBE LiTb3In4Te8, optimized geometry; E = -65.24 eV for the cell shown; formation energy without anion corrections = -0.834 eV per atom
1.0
-2.566 -8.465 -0.017
3.460 -1.066 8.482
-5.924 6.420 -1.388
Li Tb In Te
1 3 4 8
direct
0.000 0.500 0.000
0.500 0.500 0.000
0.500 0.500 0.500
0.000 0.500 0.500
0.500 0.000 0.000
0.500 0.000 0.500
0.000 0.000 0.000
0.000 0.000 0.500
0.248 0.733 0.986
0.248 0.734 0.496
0.257 0.271 0.514
0.738 0.733 0.986
0.262 0.267 0.014
0.743 0.729 0.486
0.752 0.266 0.504
0.752 0.267 0.014

***

no.,D(E_F) (states/eV per cell),magnetic moment (μB per cell)
1,0.0,0.0
2,0.0,0.0
3,6.6,0.0
4,26.8,0.0
5,3.8,0.0
6,5.5,1.3
7,19.4,0.0
8,5.3,0.0